Entry 1:
Density functional theory data (PBE-GGA) for crystalline Pu4SnGe2Pd at its relaxed geometry.

Summary:
The spin magnetization is 1.4 μB/f.u. The crystal system is trigonal. The density of states at the Fermi level comes out at 17.27 states/eV per cell. The space-group type is R-3m. The value obtained for the formation enthalpy at 0 K is -0.126 eV per atom.

Cell lengths 3.553, 3.553, 15.180 Å; angles 83.28, 83.28, 60.00 degrees
Each line ends with the local moment (μB).
Fractional positions:
Pu  0.391  0.391  0.827  3.20
Pu  0.913  0.913  0.260  -2.66
Pu  0.087  0.087  0.740  -2.66
Pu  0.609  0.609  0.173  3.20
Sn  0.000  0.000  0.000  0.01
Ge  0.800  0.800  0.601  0.02
Ge  0.200  0.200  0.399  0.02
Pd  0.500  0.500  0.500  0.03

Entry 2:
Density functional theory data (PBE-GGA) for crystalline TbPuGe2Pd2 at its relaxed geometry.

Summary:
The spin magnetization is 5.1 μB/f.u. The crystal system is trigonal. The density of states at the Fermi level comes out at 13.14 states/eV per cell. The space-group type is P-3m1. The value obtained for the formation enthalpy at 0 K is -0.758 eV per atom.

Cell lengths 4.424, 4.424, 7.228 Å; angles 90.00, 90.00, 120.00 degrees
Each line ends with the local moment (μB).
Fractional positions:
Tb  0.000  0.000  0.500  -0.05
Pu  0.000  0.000  0.000  5.11
Ge  0.333  0.667  0.245  -0.03
Ge  0.667  0.333  0.755  -0.03
Pd  0.333  0.667  0.734  -0.02
Pd  0.667  0.333  0.266  -0.02

Entry 3:
Density functional theory data (PBE-GGA) for crystalline Pu2TcGe6Pd at its relaxed geometry.

Summary:
The spin magnetization is 10.3 μB/f.u. The crystal system is monoclinic. The density of states at the Fermi level comes out at 22.87 states/eV per cell. The space-group type is C2/m. The value obtained for the formation enthalpy at 0 K is -0.137 eV per atom.

Cell lengths 8.019, 6.005, 8.034 Å; angles 68.01, 43.91, 89.96 degrees
Each line ends with the local moment (μB).
Fractional positions:
Pu  0.277  0.723  0.555  5.20
Pu  0.723  0.277  0.445  5.20
Tc  0.000  0.000  0.000  -0.16
Ge  0.261  0.740  0.950  -0.04
Ge  0.739  0.691  0.050  -0.04
Ge  0.307  0.260  0.480  -0.04
Ge  0.739  0.260  0.050  -0.04
Ge  0.261  0.309  0.950  -0.04
Ge  0.693  0.740  0.520  -0.04
Pd  0.500  0.500  0.000  -0.03

Entry 4:
Density functional theory data (PBE-GGA) for crystalline Pu2ThGe2Pd2 at its relaxed geometry.

Summary:
The spin magnetization is 0.2 μB/f.u. The crystal system is trigonal. The density of states at the Fermi level comes out at 9.06 states/eV per cell. The space-group type is R-3m. The value obtained for the formation enthalpy at 0 K is -0.424 eV per atom.

Cell lengths 4.223, 4.223, 9.200 Å; angles 76.73, 76.73, 60.00 degrees
Each line ends with the local moment (μB).
Fractional positions:
Pu  0.154  0.154  0.538  0.08
Pu  0.846  0.846  0.462  0.08
Th  0.000  0.000  0.000  0.00
Ge  0.737  0.737  0.790  0.00
Ge  0.263  0.263  0.210  0.00
Pd  0.574  0.574  0.278  0.00
Pd  0.426  0.426  0.722  0.00

Entry 5:
Density functional theory data (PBE-GGA) for crystalline Pu3ZnGe6Pd2 at its relaxed geometry.

Summary:
The spin magnetization is 5.3 μB/f.u. The crystal system is trigonal. The density of states at the Fermi level comes out at 30.87 states/eV per cell. The space-group type is P-3m1. The value obtained for the formation enthalpy at 0 K is -0.226 eV per atom.

Cell lengths 5.747, 5.747, 8.485 Å; angles 90.00, 90.00, 120.00 degrees
Each line ends with the local moment (μB).
Fractional positions:
Pu  0.333  0.667  0.606  5.22
Pu  0.667  0.333  0.394  5.22
Pu  0.000  0.000  0.000  -5.21
Zn  0.000  0.000  0.500  -0.02
Ge  0.639  0.820  0.276  -0.02
Ge  0.180  0.361  0.276  -0.02
Ge  0.180  0.820  0.276  -0.02
Ge  0.820  0.639  0.724  -0.02
Ge  0.361  0.180  0.724  -0.02
Ge  0.820  0.180  0.724  -0.02
Pd  0.667  0.333  0.975  0.00
Pd  0.333  0.667  0.025  0.00

Entry 6:
Density functional theory data (PBE-GGA) for crystalline Pu2ZnGe4Pd3 at its relaxed geometry.

Summary:
The spin magnetization is 10.7 μB/f.u. The crystal system is tetragonal. The density of states at the Fermi level comes out at 28.44 states/eV per cell. The space-group type is P-4m2. The value obtained for the formation enthalpy at 0 K is -0.510 eV per atom.

Cell lengths 4.221, 4.221, 10.682 Å; angles 90.00, 90.00, 90.00 degrees
Each line ends with the local moment (μB).
Fractional positions:
Pu  0.500  0.000  0.252  5.24
Pu  0.000  0.500  0.748  5.24
Zn  0.500  0.500  0.500  -0.02
Ge  0.500  0.500  0.000  -0.02
Ge  0.000  0.000  0.000  -0.02
Ge  0.500  0.000  0.639  -0.04
Ge  0.000  0.500  0.361  -0.04
Pd  0.000  0.000  0.500  -0.03
Pd  0.500  0.000  0.868  -0.01
Pd  0.000  0.500  0.132  -0.01

Entry 7:
Density functional theory data (PBE-GGA) for crystalline RbGe2Pd at its relaxed geometry.

Summary:
Its energy relative to the lowest polymorph listed for this composition is 0.79 eV/f.u. The spin magnetization is 0.0 μB/f.u. The crystal system is trigonal. The density of states at the Fermi level comes out at 2.40 states/eV per cell. The space-group type is R-3m. The value obtained for the formation enthalpy at 0 K is -0.061 eV per atom.

Cell lengths 4.304, 4.304, 8.404 Å; angles 75.16, 75.16, 60.00 degrees
Fractional positions:
Ge  0.138  0.138  0.587
Ge  0.862  0.862  0.413
Rb  0.000  0.000  0.000
Pd  0.500  0.500  0.500

Entry 8:
Density functional theory data (PBE-GGA) for crystalline RbGe6Pd12 at its relaxed geometry.

Summary:
The spin magnetization is 0.0 μB/f.u. The crystal system is trigonal. The density of states at the Fermi level comes out at 8.99 states/eV per cell. The space-group type is R-3m. The value obtained for the formation enthalpy at 0 K is -0.439 eV per atom.

Cell lengths 7.310, 7.310, 7.310 Å; angles 105.04, 105.04, 105.04 degrees
Fractional positions:
Rb  0.000  0.000  0.000
Ge  0.678  0.244  0.244
Ge  0.244  0.244  0.678
Ge  0.244  0.678  0.244
Ge  0.756  0.756  0.322
Ge  0.322  0.756  0.756
Ge  0.756  0.322  0.756
Pd  0.872  0.128  0.500
Pd  0.826  0.554  0.554
Pd  0.554  0.554  0.826
Pd  0.446  0.174  0.446
Pd  0.446  0.446  0.174
Pd  0.174  0.446  0.446
Pd  0.128  0.500  0.872
Pd  0.500  0.872  0.128
Pd  0.128  0.872  0.500
Pd  0.872  0.500  0.128
Pd  0.500  0.128  0.872
Pd  0.554  0.826  0.554

Entry 9:
Density functional theory data (PBE-GGA) for crystalline RbGe2Pd at its relaxed geometry.

Summary:
Its energy relative to the lowest polymorph listed for this composition is 0.79 eV/f.u. The spin magnetization is 0.0 μB/f.u. The crystal system is tetragonal. The density of states at the Fermi level comes out at 5.20 states/eV per cell. The space-group type is I4_1/amd. The value obtained for the formation enthalpy at 0 K is -0.062 eV per atom.

Cell lengths 5.383, 5.383, 9.124 Å; angles 72.84, 72.84, 90.00 degrees
Fractional positions:
Ge  0.875  0.125  0.250
Ge  0.875  0.625  0.250
Ge  0.375  0.125  0.750
Ge  0.875  0.125  0.750
Rb  0.500  0.500  0.000
Rb  0.250  0.750  0.500
Pd  0.000  0.000  0.000
Pd  0.750  0.250  0.500

Entry 10:
Density functional theory data (PBE-GGA) for crystalline RbGe3Pd5 at its relaxed geometry.

Summary:
The spin magnetization is 0.0 μB/f.u. The crystal system is orthorhombic. The density of states at the Fermi level comes out at 7.15 states/eV per cell. The space-group type is Cmcm. The value obtained for the formation enthalpy at 0 K is -0.433 eV per atom.

Cell lengths 3.972, 6.969, 13.219 Å; angles 90.00, 90.00, 106.56 degrees
Fractional positions:
Rb  0.833  0.666  0.750
Rb  0.167  0.334  0.250
Ge  0.380  0.761  0.963
Ge  0.900  0.800  0.250
Ge  0.380  0.761  0.537
Ge  0.620  0.239  0.463
Ge  0.100  0.200  0.750
Ge  0.620  0.239  0.037
Pd  0.802  0.604  0.435
Pd  0.198  0.396  0.935
Pd  0.000  0.000  0.500
Pd  0.000  0.000  0.000
Pd  0.447  0.894  0.143
Pd  0.553  0.106  0.857
Pd  0.553  0.106  0.643
Pd  0.802  0.604  0.065
Pd  0.198  0.396  0.565
Pd  0.447  0.894  0.357

Entry 11:
Density functional theory data (PBE-GGA) for crystalline Rb2GePd at its relaxed geometry.

Summary:
The spin magnetization is 0.0 μB/f.u. The crystal system is tetragonal. The density of states at the Fermi level comes out at 6.47 states/eV per cell. The space-group type is I-42d. The value obtained for the formation enthalpy at 0 K is -0.077 eV per atom.

Cell lengths 12.941, 12.941, 9.453 Å; angles 46.81, 46.81, 90.00 degrees
Fractional positions:
Ge  0.500  0.500  0.000
Ge  0.250  0.750  0.500
Rb  0.823  0.125  0.250
Rb  0.927  0.625  0.250
Rb  0.375  0.177  0.750
Rb  0.875  0.073  0.750
Pd  0.000  0.000  0.000
Pd  0.750  0.250  0.500

Entry 12:
Density functional theory data (PBE-GGA) for crystalline RbGe2Pd3 at its relaxed geometry.

Summary:
The spin magnetization is 0.0 μB/f.u. The crystal system is monoclinic. The density of states at the Fermi level comes out at 6.12 states/eV per cell. The space-group type is C2/m. The value obtained for the formation enthalpy at 0 K is -0.344 eV per atom.

Cell lengths 4.153, 9.344, 10.629 Å; angles 99.44, 90.00, 102.84 degrees
Fractional positions:
Rb  0.142  0.283  0.740
Rb  0.858  0.717  0.260
Rb  0.000  0.000  0.000
Ge  0.196  0.392  0.140
Ge  0.804  0.608  0.860
Ge  0.516  0.032  0.268
Ge  0.484  0.968  0.732
Ge  0.352  0.703  0.525
Ge  0.648  0.297  0.475
Pd  0.067  0.135  0.381
Pd  0.933  0.865  0.619
Pd  0.224  0.448  0.402
Pd  0.776  0.552  0.598
Pd  0.647  0.294  0.238
Pd  0.353  0.706  0.762
Pd  0.500  0.000  0.500
Pd  0.298  0.596  0.989
Pd  0.702  0.404  0.011